# 1
Below is an optimized crystal structure of RbInBr2, with properties calculated at the GGA-PBE level.

Cell lengths 7.4743, 7.4743, 15.6759 Å; angles 90.00, 90.00, 90.00 degrees
Last column: nearest neighbours and their distance in Å.
Fractional coordinates of all 16 atoms:
Rb: 0.0000 0.0000 0.0000  4 Br 3.38
Rb: 0.0000 0.5000 0.2500  4 Br 3.38
Rb: 0.5000 0.0000 0.7500  4 Br 3.38
Rb: 0.5000 0.5000 0.5000  4 Br 3.38
In: 0.0000 0.0000 0.5000  4 Br 3.21
In: 0.0000 0.5000 0.7500  4 Br 3.21
In: 0.5000 0.0000 0.2500  4 Br 3.21
In: 0.5000 0.5000 0.0000  4 Br 3.21
Br: 0.2296 0.2500 0.6250  2 In 3.21, 2 Rb 3.38
Br: 0.2500 0.7296 0.8750  2 In 3.21, 2 Rb 3.38
Br: 0.2500 0.7704 0.3750  2 In 3.21, 2 Rb 3.38
Br: 0.2704 0.2500 0.1250  2 In 3.21, 2 Rb 3.38
Br: 0.7296 0.7500 0.1250  2 In 3.21, 2 Rb 3.38
Br: 0.7500 0.2296 0.3750  2 In 3.21, 2 Rb 3.38
Br: 0.7500 0.2704 0.8750  2 In 3.21, 2 Rb 3.38
Br: 0.7704 0.7500 0.6250  2 In 3.21, 2 Rb 3.38

Computed properties:
V in Å³/cell: 875.7
Space group: I-42d
Magnetic moment in μB per atom: 0.0000
Polymorph energy (0 for the lowest one) in meV per atom: 76.2
Crystal system: tetragonal



# 2
Below is an optimized crystal structure of RbInBr2, with properties calculated at the GGA-PBE level.

Cell lengths 5.1287, 5.1287, 28.8960 Å; angles 90.00, 90.00, 120.00 degrees
Last column: nearest neighbours and their distance in Å.
Fractional coordinates of all 12 atoms:
Rb: 0.0000 0.0000 0.0000  2 Br 3.13
Rb: 0.3333 0.6667 0.6667  2 Br 3.13
Rb: 0.6667 0.3333 0.3333  2 Br 3.13
In: 0.0000 0.0000 0.5000  6 Br 3.41
In: 0.3333 0.6667 0.1667  6 Br 3.41
In: 0.6667 0.3333 0.8333  6 Br 3.41
Br: 0.0000 0.0000 0.1081  1 Rb 3.13, 3 In 3.41
Br: 0.0000 0.0000 0.8919  1 Rb 3.13, 3 In 3.41
Br: 0.3333 0.6667 0.5585  1 Rb 3.13, 3 In 3.41
Br: 0.3333 0.6667 0.7748  1 Rb 3.13, 3 In 3.41
Br: 0.6667 0.3333 0.2252  1 Rb 3.13, 3 In 3.41
Br: 0.6667 0.3333 0.4415  1 Rb 3.13, 3 In 3.41

Computed properties:
V in Å³/cell: 658.2
Space group: R-3m
Magnetic moment in μB per atom: 0.0000
Polymorph energy (0 for the lowest one) in meV per atom: 278.5
Crystal system: trigonal



# 3
Below is an optimized crystal structure of Rb6InBr8, with properties calculated at the GGA-PBE level.

Cell lengths 9.9925, 9.9925, 7.3138 Å; angles 90.00, 90.00, 120.00 degrees
Last column: nearest neighbours and their distance in Å.
Fractional coordinates of all 15 atoms:
Rb: 0.0000 0.3780 0.2192  6 Br 3.40-3.74
Rb: 0.0000 0.6220 0.7808  6 Br 3.40-3.74
Rb: 0.3780 0.0000 0.2192  6 Br 3.40-3.74
Rb: 0.3780 0.3780 0.7808  6 Br 3.40-3.74
Rb: 0.6220 0.0000 0.7808  6 Br 3.40-3.74
Rb: 0.6220 0.6220 0.2192  6 Br 3.40-3.74
In: 0.0000 0.0000 0.5000  6 Br 3.02
Br: 0.0000 0.2618 0.7051  1 In 3.02
Br: 0.0000 0.7382 0.2949  1 In 3.02
Br: 0.2618 0.0000 0.7051  1 In 3.02
Br: 0.2618 0.2618 0.2949  1 In 3.02
Br: 0.3333 0.6667 0.0000  6 Rb 3.52
Br: 0.6667 0.3333 0.0000  6 Rb 3.52
Br: 0.7382 0.0000 0.2949  1 In 3.02
Br: 0.7382 0.7382 0.7051  1 In 3.02

Computed properties:
V in Å³/cell: 632.4
Electronic total energy in eV/f.u.: -44.28
Space group: P-31m
Magnetic moment in μB per atom: 0.0468
Crystal system: trigonal